4
Lattice="0.0000 3.3586 3.3586 3.3586 0.0000 3.3586 3.3586 3.3586 0.0000" Properties=species:S:1:pos:R:3 comment="YCoCuSb | OQMD via LeMat-Bulk | PBE-GGA | optimized geometry" magnetic_moment_mub_per_cell=1.20 crystal_system=cubic de_polymorph_mev_per_atom=320 total_energy_ev_per_cell=-21.1 pbc="T T T"
Y 0.0000 0.0000 0.0000
Co 5.0379 5.0379 5.0379
Cu 3.3586 3.3586 3.3586
Sb 1.6793 1.6793 1.6793

=====

4
Lattice="0.0000 3.2593 3.2593 3.2593 0.0000 3.2593 3.2593 3.2593 0.0000" Properties=species:S:1:pos:R:3 comment="YCoCuSb | OQMD via LeMat-Bulk | PBE-GGA | optimized geometry" magnetic_moment_mub_per_cell=0.00 crystal_system=cubic de_polymorph_mev_per_atom=0 total_energy_ev_per_cell=-22.4 pbc="T T T"
Y 0.0000 0.0000 0.0000
Co 4.8890 4.8890 4.8890
Cu 1.6297 1.6297 1.6297
Sb 3.2593 3.2593 3.2593

=====

4
Lattice="0.0000 3.3033 3.3033 3.3033 0.0000 3.3033 3.3033 3.3033 0.0000" Properties=species:S:1:pos:R:3 comment="YCoCuSb | OQMD via LeMat-Bulk | PBE-GGA | optimized geometry" magnetic_moment_mub_per_cell=0.28 crystal_system=cubic de_polymorph_mev_per_atom=186 total_energy_ev_per_cell=-21.7 pbc="T T T"
Y 0.0000 0.0000 0.0000
Co 3.3033 3.3033 3.3033
Cu 4.9549 4.9549 4.9549
Sb 1.6516 1.6516 1.6516

=====

4
Lattice="0.0000 3.1833 3.1833 3.1833 0.0000 3.1833 3.1833 3.1833 0.0000" Properties=species:S:1:pos:R:3 comment="ZrCoCuSb | OQMD via LeMat-Bulk | PBE-GGA | optimized geometry" magnetic_moment_mub_per_cell=0.01 crystal_system=cubic de_polymorph_mev_per_atom=0 total_energy_ev_per_cell=-24.3 pbc="T T T"
Zr 0.0000 0.0000 0.0000
Co 4.7749 4.7749 4.7749
Cu 1.5916 1.5916 1.5916
Sb 3.1833 3.1833 3.1833

=====

4
Lattice="0.0000 3.2363 3.2363 3.2363 0.0000 3.2363 3.2363 3.2363 0.0000" Properties=species:S:1:pos:R:3 comment="ZrCoCuSb | OQMD via LeMat-Bulk | PBE-GGA | optimized geometry" magnetic_moment_mub_per_cell=0.58 crystal_system=cubic de_polymorph_mev_per_atom=246 total_energy_ev_per_cell=-23.3 pbc="T T T"
Zr 0.0000 0.0000 0.0000
Co 4.8544 4.8544 4.8544
Cu 3.2363 3.2363 3.2363
Sb 1.6181 1.6181 1.6181

=====

4
Lattice="0.0000 3.0047 3.0047 3.0047 0.0000 3.0047 3.0047 3.0047 0.0000" Properties=species:S:1:pos:R:3 comment="ScCoCu2 | OQMD via LeMat-Bulk | PBE-GGA | optimized geometry" magnetic_moment_mub_per_cell=0.10 formation_enthalpy_0k_mev_per_atom=-70 crystal_system=cubic total_energy_ev_per_cell=-21.1 pbc="T T T"
Sc 0.0000 0.0000 0.0000
Co 1.5023 1.5023 1.5023
Cu 3.0047 3.0047 3.0047
Cu 4.5070 4.5070 4.5070

=====

10
Lattice="3.1062 0.0000 0.0000 0.0000 3.1062 0.0000 0.0000 0.0000 16.0538" Properties=species:S:1:pos:R:3 comment="Sc5Co4Cu | OQMD via LeMat-Bulk | PBE-GGA | optimized geometry" magnetic_moment_mub_per_cell=0.26 formation_enthalpy_0k_mev_per_atom=-348 crystal_system=tetragonal total_energy_ev_per_cell=-67.3 pbc="T T T"
Sc 0.0000 0.0000 0.0000
Sc 0.0000 0.0000 3.1376
Sc 0.0000 0.0000 6.2632
Sc 0.0000 0.0000 9.7906
Sc 0.0000 0.0000 12.9161
Co 1.5531 1.5531 1.5693
Co 1.5531 1.5531 4.7373
Co 1.5531 1.5531 11.3164
Co 1.5531 1.5531 14.4845
Cu 1.5531 1.5531 8.0269

=====

4
Lattice="0.0000 2.9994 2.9994 2.9994 0.0000 2.9994 2.9994 2.9994 0.0000" Properties=species:S:1:pos:R:3 comment="ScCoCu2 | OQMD via LeMat-Bulk | PBE-GGA | optimized geometry" magnetic_moment_mub_per_cell=0.14 formation_enthalpy_0k_mev_per_atom=-69 crystal_system=cubic total_energy_ev_per_cell=-21.1 pbc="T T T"
Sc 0.0000 0.0000 0.0000
Co 1.4997 1.4997 1.4997
Cu 2.9994 2.9994 2.9994
Cu 4.4992 4.4992 4.4992

=====

4
Lattice="0.0000 2.9909 2.9909 2.9909 0.0000 2.9909 2.9909 2.9909 0.0000" Properties=species:S:1:pos:R:3 comment="ScCo2Cu | OQMD via LeMat-Bulk | PBE-GGA | optimized geometry" magnetic_moment_mub_per_cell=2.50 formation_enthalpy_0k_mev_per_atom=-21 crystal_system=cubic total_energy_ev_per_cell=-24.3 pbc="T T T"
Sc 0.0000 0.0000 0.0000
Co 2.9909 2.9909 2.9909
Co 4.4864 4.4864 4.4864
Cu 1.4955 1.4955 1.4955

=====

5
Lattice="-1.9044 1.9044 4.8751 1.9044 -1.9044 4.8751 1.9044 1.9044 -4.8751" Properties=species:S:1:pos:R:3 comment="ScCoCuSi2 | OQMD via LeMat-Bulk | PBE-GGA | optimized geometry" magnetic_moment_mub_per_cell=0.47 crystal_system=tetragonal total_energy_ev_per_cell=-30.9 pbc="T T T"
Sc 0.0000 0.0000 0.0000
Co 1.9044 0.0000 2.4376
Cu 0.0000 1.9044 2.4376
Si 0.0000 0.0000 3.7173
Si 0.0000 0.0000 6.0329

=====

4
Lattice="0.0000 3.1890 3.1890 3.1890 0.0000 3.1890 3.1890 3.1890 0.0000" Properties=species:S:1:pos:R:3 comment="ScTlCoCu | OQMD via LeMat-Bulk | PBE-GGA | optimized geometry" magnetic_moment_mub_per_cell=0.66 crystal_system=cubic de_polymorph_mev_per_atom=0 total_energy_ev_per_cell=-19.6 pbc="T T T"
Sc 0.0000 0.0000 0.0000
Tl 3.1890 3.1890 3.1890
Co 4.7835 4.7835 4.7835
Cu 1.5945 1.5945 1.5945

=====

4
Lattice="0.0000 3.2151 3.2151 3.2151 0.0000 3.2151 3.2151 3.2151 0.0000" Properties=species:S:1:pos:R:3 comment="ScTlCoCu | OQMD via LeMat-Bulk | PBE-GGA | optimized geometry" magnetic_moment_mub_per_cell=1.02 crystal_system=cubic de_polymorph_mev_per_atom=134 total_energy_ev_per_cell=-19.1 pbc="T T T"
Sc 0.0000 0.0000 0.0000
Tl 1.6076 1.6076 1.6076
Co 3.2151 3.2151 3.2151
Cu 4.8227 4.8227 4.8227